The following is a DFT calculation (PBE-GGA) of a relaxed structure of CdSbPb2O6.

## Properties
SG ... P2_1/c
DOS at the Fermi energy ... 0.62 states/eV/atom
Formation energy without anion corrections ... -11.505 eV/f.u.
Spin magnetization ... 0.00 μB/cell

Structure (extended XYZ):
```
20
Lattice="-5.4768 -0.7116 1.5884 0.7126 -6.0309 -0.2448 2.2323 -0.0617 8.0163" Properties=species:S:1:pos:R:3 pbc="T T T"
Cd -2.7384 -0.3558 0.7942
Cd 1.4724 -3.0463 3.8857
Sb -1.6222 -0.3866 4.8023
Sb 0.3563 -3.0154 -0.1224
Pb 1.2003 -5.7771 1.8674
Pb -0.7126 -3.7034 6.7696
Pb -3.7323 -1.0270 7.4924
Pb -1.8193 -3.1007 2.5902
O -1.0563 -4.2731 0.6061
O -2.5692 -5.5854 5.3708
O -1.4756 -2.5311 8.7538
O 0.0373 -1.2187 3.9890
O -0.2931 -4.6384 3.8046
O -1.8817 -5.3094 8.5953
O -2.2389 -2.1657 5.5553
O -0.6502 -1.4947 0.7645
O -3.9773 -4.0035 3.1299
O 0.1534 -6.0165 6.2489
O 1.4454 -2.8006 6.2299
O -2.6853 -0.7876 3.1109
```

***

The following is a DFT calculation (PBE-GGA) of a relaxed structure of CdSiPbO4.

## Properties
SG ... P2_1/m
DOS at the Fermi energy ... 0.00 states/eV/atom
Formation energy without anion corrections ... -12.582 eV/f.u.
Spin magnetization ... 0.00 μB/cell

Structure (extended XYZ):
```
14
Lattice="6.0025 0.0000 0.3511 0.0000 5.6165 0.0000 -1.9502 0.0000 6.7112" Properties=species:S:1:pos:R:3 pbc="T T T"
Cd 4.1019 4.2123 3.0118
Cd -0.0497 1.4041 4.0504
Si 1.0438 4.2123 2.5966
Si 3.0084 1.4041 4.4656
Pb 2.5044 4.2123 6.0454
Pb 1.5478 1.4041 1.0168
O 3.9763 2.7203 4.8410
O 0.0759 5.5285 2.2213
O 0.0759 2.8962 2.2213
O 3.9763 0.0879 4.8410
O 2.3830 4.2123 1.6321
O 1.6693 1.4041 5.4301
O 1.3276 4.2123 4.1945
O 2.7247 1.4041 2.8677
```

***

The following is a DFT calculation (PBE-GGA) of a relaxed structure of CdSi2PbO6.

## Properties
SG ... C2/c
DOS at the Fermi energy ... 0.00 states/eV/atom
Formation energy without anion corrections ... -20.711 eV/f.u.
Spin magnetization ... 0.00 μB/cell

Structure (extended XYZ):
```
20
Lattice="-4.9531 -0.0727 1.5766 -3.1493 -0.1553 -6.7202 -0.6924 -7.3608 0.6661" Properties=species:S:1:pos:R:3 pbc="T T T"
Cd -2.6624 -5.2328 -1.1397
Cd -6.1323 -2.3560 -3.3377
Si -4.1710 -4.7530 -4.4966
Si -2.5497 -1.6193 -1.9790
Si -4.6238 -2.8358 0.0192
Si -6.2451 -5.9695 -2.4985
Pb -4.1168 -0.9676 -5.5121
Pb -4.6779 -6.6212 1.0346
O -4.6105 -5.7472 -5.7084
O -2.2354 -0.2579 -1.1436
O -4.1843 -1.8416 1.2310
O -6.5594 -7.3309 -3.3338
O -4.6870 -3.2235 -4.6474
O -2.6190 -1.4322 -3.5879
O -4.1078 -4.3653 0.1700
O -6.1758 -6.1566 -0.8896
O -7.4399 -4.8165 -2.8089
O -4.0202 -2.2550 -1.4477
O -1.3549 -2.7723 -1.6686
O -4.7746 -5.3337 -3.0297
```

***

The following is a DFT calculation (PBE-GGA) of a relaxed structure of CdSnPb2O5.

## Properties
SG ... Cmc2_1
Formation energy without anion corrections ... -10.646 eV/f.u.
Spin magnetization ... 0.00 μB/cell

Structure (extended XYZ):
```
18
Lattice="3.3730 0.0000 0.0000 -1.6865 7.4349 0.0000 0.0000 0.0000 11.7035" Properties=species:S:1:pos:R:3 pbc="T T T"
Cd 1.6865 0.1824 11.3295
Cd 0.0000 7.2526 5.4777
Sn 1.6865 3.9976 5.9200
Sn 0.0000 3.4373 0.0682
Pb 1.6865 5.6874 8.7853
Pb 0.0000 1.8803 8.2228
Pb 0.0000 1.7475 2.9336
Pb 1.6865 5.5546 2.3711
O 0.0000 5.5310 0.6220
O 1.6865 3.4222 10.4780
O 0.0000 7.3024 9.1461
O 0.0000 4.0473 7.3410
O 1.6865 6.0840 6.3160
O 1.6865 1.9039 6.4737
O 0.0000 4.0127 4.6263
O 1.6865 0.1325 3.2943
O 1.6865 3.3876 1.4892
O 0.0000 1.3509 0.4643
```

***

The following is a DFT calculation (PBE-GGA) of a relaxed structure of Sr2CdPbO4.

## Properties
SG ... P2/m
DOS at the Fermi energy ... 0.00 states/eV/atom
Formation energy without anion corrections ... -14.748 eV/f.u.
Spin magnetization ... 0.00 μB/cell

Structure (extended XYZ):
```
8
Lattice="-0.0407 -3.5775 0.7169 3.5386 0.9891 5.1372 -5.9866 0.3669 1.4913" Properties=species:S:1:pos:R:3 pbc="T T T"
Sr -3.0137 -1.6053 1.1041
Sr -1.2240 0.6780 3.3143
Cd 0.0000 0.0000 0.0000
Pb 1.7490 -1.2942 2.9270
O -0.6438 -1.4589 1.9694
O -1.8449 -0.7626 5.3760
O -3.6151 0.5099 2.3396
O 1.1670 0.8461 4.2889
```

***

The following is a DFT calculation (PBE-GGA) of a relaxed structure of SrCdPbO3.

## Properties
SG ... P2_1/m
DOS at the Fermi energy ... 0.00 states/eV/atom
Formation energy without anion corrections ... -9.325 eV/f.u.
Spin magnetization ... 0.00 μB/cell

Structure (extended XYZ):
```
12
Lattice="3.4431 0.0000 0.0000 0.0000 6.8411 0.5117 0.0000 -1.0996 9.1404" Properties=species:S:1:pos:R:3 pbc="T T T"
Sr 0.8608 0.8133 1.6644
Sr 2.5823 4.9282 7.9877
Cd 0.8608 4.2179 1.3556
Cd 2.5823 1.5236 8.2965
Pb 0.8608 0.8099 5.3912
Pb 2.5823 4.9316 4.2610
O 2.5823 5.7869 1.7228
O 0.8608 -0.0455 7.9293
O 0.8608 5.3675 5.8209
O 2.5823 0.3739 3.8312
O 2.5823 2.6164 1.4527
O 0.8608 3.1250 8.1994
```

***

The following is a DFT calculation (PBE-GGA) of a relaxed structure of Sr2CdPbO5.

## Properties
SG ... Cmc2_1
Formation energy without anion corrections ... -15.941 eV/f.u.
Spin magnetization ... 0.00 μB/cell

Structure (extended XYZ):
```
18
Lattice="-0.1825 -2.0058 2.8680 -3.5253 -3.9792 -5.1484 9.9343 -5.0497 -2.8996" Properties=species:S:1:pos:R:3 pbc="T T T"
Sr 5.1927 -8.6441 -3.5739
Sr 5.9836 -4.1571 -2.5267
Sr 1.9554 -2.8590 -1.8751
Sr -1.5083 -5.9875 -2.1422
Cd 8.9729 -6.2008 -1.6246
Cd 1.1067 -6.7924 -4.6800
Pb 3.1903 -6.3769 -2.1157
Pb -1.3719 -2.4170 -1.7777
O 7.1855 -8.7968 -5.6951
O 7.4094 -7.6500 -2.7376
O 4.0852 -8.7882 -5.8864
O 4.6876 -5.9508 -3.8636
O 2.3845 -8.0397 -3.3299
O 3.9662 -4.7414 -0.9225
O 1.9229 -4.9634 -3.3489
O 2.5281 -2.4431 0.5934
O -0.2033 -4.1983 -0.8079
O 0.0201 -1.0522 -0.7346
```

***

The following is a DFT calculation (PBE-GGA) of a relaxed structure of TaCd2PbO6.

## Properties
SG ... R3
DOS at the Fermi energy ... 0.45 states/eV/atom
Formation energy without anion corrections ... -16.159 eV/f.u.
Spin magnetization ... 0.00 μB/cell

Structure (extended XYZ):
```
10
Lattice="-3.7641 -1.9524 3.8504 -3.7343 -4.0885 -1.4641 0.7799 -5.5219 2.2242" Properties=species:S:1:pos:R:3 pbc="T T T"
Ta -2.3070 -2.2192 0.8793
Cd -3.6786 -5.4393 2.1664
Cd 0.4530 -5.1714 2.0812
Pb -5.5961 -8.0757 3.2154
O -2.7552 -3.3575 2.3977
O -4.2573 -5.7538 -0.0265
O -5.5677 -5.5571 3.4529
O -3.4919 -7.8822 2.3567
O -2.4086 -6.1377 4.1478
O -1.4335 -6.2602 1.6077
```

***

The following is a DFT calculation (PBE-GGA) of a relaxed structure of TaCdPbO6.

## Properties
SG ... P-31c
DOS at the Fermi energy ... 0.59 states/eV/atom
Formation energy without anion corrections ... -12.977 eV/f.u.
Spin magnetization ... 2.11 μB/cell

Structure (extended XYZ):
```
18
Lattice="5.5884 0.0000 0.0000 -2.7942 4.8397 0.0000 0.0000 0.0000 9.4105" Properties=species:S:1:pos:R:3 pbc="T T T"
Ta 2.7942 1.6132 2.3526
Ta 0.0000 3.2265 7.0578
Cd 0.0000 0.0000 0.0000
Cd 0.0000 0.0000 4.7052
Pb 0.0000 3.2265 2.3526
Pb 2.7942 1.6132 7.0578
O 1.9087 3.0435 1.2501
O 4.4757 1.6650 1.2501
O -0.7959 4.7085 5.9553
O -1.6814 3.1747 8.1604
O 1.1128 1.6650 3.4551
O 3.6798 3.0435 3.4551
O 0.7959 4.7085 8.1604
O 3.5901 0.1312 3.4551
O -0.8855 1.7962 5.9553
O 1.9983 0.1312 1.2501
O 1.6815 3.1747 5.9553
O 0.8855 1.7962 8.1604
```

***

The following is a DFT calculation (PBE-GGA) of a relaxed structure of Tb2CdPbO6.

## Properties
SG ... R3
Formation energy without anion corrections ... -22.270 eV/f.u.
Spin magnetization ... 0.00 μB/cell

Structure (extended XYZ):
```
10
Lattice="-5.0010 2.9434 -0.3157 -4.1055 -0.8057 4.0332 -1.0013 4.4711 4.0605" Properties=species:S:1:pos:R:3 pbc="T T T"
Tb -5.2012 3.0322 3.6846
Tb -1.1395 4.2157 3.8689
Cd -7.8942 4.3774 5.3987
Pb -2.9071 0.9499 1.4173
O -4.1752 2.7101 1.6714
O -5.1471 0.9785 4.6791
O -7.3992 3.3429 3.1533
O -5.6887 4.0059 5.7769
O -4.8256 5.3402 3.3768
O -3.0949 3.4356 4.6665
```

***

The following is a DFT calculation (PBE-GGA) of a relaxed structure of TbCd2PbO6.

## Properties
SG ... R3
DOS at the Fermi energy ... 0.65 states/eV/atom
Formation energy without anion corrections ... -14.684 eV/f.u.
Spin magnetization ... 1.10 μB/cell

Structure (extended XYZ):
```
10
Lattice="5.7675 0.0002 0.0001 2.8839 4.9945 -0.0001 2.8836 1.6650 5.1097" Properties=species:S:1:pos:R:3 pbc="T T T"
Tb 8.6513 4.9947 2.9186
Cd 5.7675 3.3299 2.1317
Cd 2.8837 1.6650 4.7515
Pb 2.8838 1.6648 0.2827
O 4.8145 1.4393 1.2946
O 4.6066 5.1003 1.2945
O 7.8815 3.4501 1.2946
O 6.6312 4.7705 3.8857
O 6.5834 1.8617 3.8860
O 4.0879 3.3573 3.8858
```

***

The following is a DFT calculation (PBE-GGA) of a relaxed structure of CdTcPb2O6.

## Properties
SG ... P2_1/c
DOS at the Fermi energy ... 0.37 states/eV/atom
Formation energy without anion corrections ... -11.887 eV/f.u.
Spin magnetization ... 2.02 μB/cell

Structure (extended XYZ):
```
20
Lattice="-1.1482 -2.0892 5.2281 -5.4115 -1.7114 -1.8723 3.0733 -7.3390 -2.1744" Properties=species:S:1:pos:R:3 pbc="T T T"
Cd -0.5741 -1.0446 2.6141
Cd -1.1691 -4.5252 -2.0234
Tc 0.9625 -4.7141 1.5269
Tc -2.7057 -0.8557 -0.9362
Pb -4.4006 -3.5309 -2.3106
Pb -1.1978 -7.5365 -0.0086
Pb 0.9141 -7.6087 3.4920
Pb -2.2886 -3.6031 1.1900
O -3.8599 -2.0359 0.1154
O -3.6952 -7.0023 1.3662
O 0.3735 -9.1038 1.0660
O 0.2088 -4.1373 -0.1848
O -2.9622 -5.1971 -0.6204
O -2.2128 -9.9787 0.8328
O -0.5243 -5.9425 1.8017
O -1.2736 -1.1609 0.3486
O -3.2678 -4.4854 3.2242
O -3.4193 -7.8257 -1.2598
O -0.2186 -6.6542 -2.0428
O -0.0671 -3.3139 2.4411
```